## Fe2CSe (GGA-PBE)

Data for crystalline Fe2CSe at its relaxed geometry.

```
Fe2CSe
1.0
-2.366 2.366 4.693
2.366 -2.366 4.693
2.366 2.366 -4.693
Fe C Se
4 2 2
direct
0.044 0.625 0.919
0.375 0.294 0.419
0.706 0.125 0.081
0.875 0.956 0.581
0.000 0.000 0.000
0.750 0.250 0.500
0.250 0.750 0.500
0.500 0.500 0.000
```

Fermi-level density of states (states/eV per atom): 0.812
E_form (uncorrected) (kJ/mol of formula units): 110
Crystal system: tetragonal

=====

## BaAcGe (GGA-PBE)

Data for crystalline BaAcGe at its relaxed geometry.

```
BaAcGe
1.0
5.151 0.000 0.000
0.000 5.151 0.000
0.000 0.000 8.691
Ba Ac Ge
2 2 2
direct
0.250 0.250 0.128
0.750 0.750 0.872
0.250 0.750 0.500
0.750 0.250 0.500
0.250 0.250 0.740
0.750 0.750 0.260
```

Energy of formation (eV/atom): -0.4235
Offset from the most stable computed form (kJ/mol of formula units): 0
Fermi-level density of states (states/eV per atom): 0.866
Crystal system: tetragonal

=====

## MnIn4Br6 (GGA-PBE)

Data for crystalline MnIn4Br6 at its relaxed geometry.

```
MnIn4Br6
1.0
8.578 -4.223 0.000
8.578 4.223 0.000
-6.997 0.000 12.543
Mn In Br
2 8 12
direct
0.248 0.752 0.500
0.752 0.248 0.000
0.123 0.330 0.270
0.154 0.750 0.897
0.330 0.123 0.770
0.431 0.706 0.264
0.702 0.866 0.080
0.706 0.431 0.764
0.750 0.154 0.397
0.866 0.702 0.580
0.000 0.015 0.107
0.015 0.000 0.607
0.078 0.737 0.308
0.406 0.445 0.529
0.428 0.827 0.870
0.440 0.875 0.535
0.445 0.406 0.029
0.519 0.957 0.246
0.737 0.078 0.808
0.827 0.428 0.370
0.875 0.440 0.035
0.957 0.519 0.746
```

Fermi-level density of states (states/eV per atom): 0.000
E_form (uncorrected) (kJ/mol of formula units): -708
Crystal system: monoclinic